1.
Material: ZrSn2Pd
Method: DFT, PBE
State: relaxed

## Properties
Its space group is I-42d (122). As for the raw total energy: -44.7 eV/cell. The calculation puts the total magnetic moment at 0.00 μB per cell. As for the density: 7.78 g cm⁻³.

```
8
Lattice="-2.175 2.175 9.809 2.175 -2.175 9.809 2.175 2.175 -9.809" Properties=species:S:1:pos:R:3 pbc="T T T"
Zr 0.000 0.000 0.000
Zr 0.000 2.175 4.905
Sn 1.088 -1.022 7.357
Sn 1.153 1.088 2.452
Sn 1.088 3.197 -2.452
Sn 1.022 1.088 12.262
Pd 2.175 0.000 4.905
Pd 0.000 0.000 9.809
```

2.
Material: KBe2Re
Method: DFT, PBE
State: relaxed

## Properties
The calculation puts the energy above the most stable polymorph in this dataset at 1.21 eV per formula unit. Its space group is Cmm2 (35). The calculation puts the total magnetic moment at 0.00 μB per cell. As for the density: 6.61 g cm⁻³.

```
4
Lattice="1.942 -1.946 0.000 1.942 1.946 0.000 0.000 0.000 8.084" Properties=species:S:1:pos:R:3 pbc="T T T"
K 0.000 0.000 0.000
Be 0.000 0.000 4.476
Be 1.942 0.000 5.398
Re 1.942 0.000 2.922
```

Q: density of number 2 (KBe2Re)?
A: 6.61 g cm⁻³

Q: What is the formula in the first record?
A: ZrSn2Pd